A relaxed CaMgZn crystal. Source: Alexandria via LeMat-Bulk, functional PBE-GGA.

Computed properties:
SG = Cmcm, No. 63
DOS(E_F) = 3.82 states/eV/cell
Formation energy = -0.195 eV per atom
Crystal system = orthorhombic
Magnetization = 0.0 μB per cell

Cell and atoms, written as POSCAR:
```
CaMgZn
1.0
-1.838 3.971 1.057
-4.077 -4.043 -1.484
-0.398 -1.728 5.799
Ca Mg Zn
2 2 2
Direct
0.796 0.592 0.250
0.204 0.408 0.750
0.500 0.000 0.000
0.500 0.000 0.500
0.090 0.180 0.250
0.910 0.820 0.750
```

A relaxed Ca2MgZn3 crystal. Source: Alexandria via LeMat-Bulk, functional PBE-GGA.

Computed properties:
Relative energy among the computed polymorphs = 0.0000 eV/atom
SG = P6_3/mmc, No. 194
DOS(E_F) = 8.94 states/eV/cell
Formation energy = -0.218 eV per atom
Crystal system = hexagonal
Magnetization = 0.0 μB per cell

Cell and atoms, written as POSCAR:
```
Ca2MgZn3
1.0
5.818 0.000 0.000
-2.909 5.038 0.000
0.000 0.000 9.060
Ca Mg Zn
4 2 6
Direct
0.667 0.333 0.063
0.333 0.667 0.563
0.333 0.667 0.937
0.667 0.333 0.437
0.000 0.000 0.000
0.000 0.000 0.500
0.651 0.825 0.250
0.175 0.825 0.250
0.175 0.349 0.250
0.349 0.175 0.750
0.825 0.175 0.750
0.825 0.651 0.750
```

> Which formula does entry 1 have?

CaMgZn

What did the first record say?
A relaxed CaMgZn crystal. Source: Alexandria via LeMat-Bulk, functional PBE-GGA.

Computed properties:
SG = Cmcm, No. 63
DOS(E_F) = 3.82 states/eV/cell
Formation energy = -0.195 eV per atom
Crystal system = orthorhombic
Magnetization = 0.0 μB per cell

Cell and atoms, written as POSCAR:
```
CaMgZn
1.0
-1.838 3.971 1.057
-4.077 -4.043 -1.484
-0.398 -1.728 5.799
Ca Mg Zn
2 2 2
Direct
0.796 0.592 0.250
0.204 0.408 0.750
0.500 0.000 0.000
0.500 0.000 0.500
0.090 0.180 0.250
0.910 0.820 0.750
```

> The lowest DOS(E_F) belongs to which entry?

CaMgZn